i | # LaWBr2

LaWBr2 after structural relaxation (PBEsol, Alexandria).

Computed properties:
D(E_F) (states/eV/cell): 3.508
Spin magnetization (μB/atom): 0.000

Cell: 9.5319 9.5319 9.5319 Å, 19.45 19.45 19.45°
With the nearest neighbours (Å) after each atom.
Element x y z (fractional)
La 0.0000 0.0000 0.0000  6 La 3.22, 6 Br 3.29
W 0.5000 0.5000 0.5000  6 Br 2.70
Br 0.2365 0.2365 0.2365  3 W 2.70
Br 0.7635 0.7635 0.7635  3 W 2.70

ii | # LaWBr2

LaWBr2 after structural relaxation (PBEsol, Alexandria).

Computed properties:
D(E_F) (states/eV/cell): 3.612
Spin magnetization (μB/atom): 0.892

Cell: 3.3789 3.3789 9.4373 Å, 90.00 90.00 90.00°
With the nearest neighbours (Å) after each atom.
Element x y z (fractional)
La 0.0000 0.0000 0.0000  8 Br 3.03, 4 La 3.38
W 0.0000 0.0000 0.5000  4 W 3.38, 8 Br 3.72
Br 0.5000 0.5000 0.1972  4 La 3.03, 4 Br 3.38
Br 0.5000 0.5000 0.8028  4 La 3.03, 4 Br 3.38

Bottom line: i, by a margin of 187 meV per atom.

i | # La2ZnBr

La2ZnBr after structural relaxation (PBEsol, Alexandria).

Computed properties:
D(E_F) (states/eV/cell): 2.946
Spin magnetization (μB/atom): 0.000

Cell: 3.6463 3.6915 8.5339 Å, 90.00 90.19 90.00°
With the nearest neighbours (Å) after each atom.
Element x y z (fractional)
La 0.0013 0.0000 0.2114  2 Br 3.08, 4 Zn 3.16
La 0.9987 0.0000 0.7886  2 Br 3.08, 4 Zn 3.16
Zn 0.5000 0.5000 0.0000  8 La 3.16
Br 0.0000 0.5000 0.5000  4 La 3.08

ii | # La2ZnBr

La2ZnBr after structural relaxation (PBEsol, Alexandria).

Computed properties:
D(E_F) (states/eV/cell): 3.561
Spin magnetization (μB/atom): 0.000

Cell: 4.2756 4.2756 6.1047 Å, 90.00 90.00 90.00°
With the nearest neighbours (Å) after each atom.
Element x y z (fractional)
La 0.0000 0.0000 0.0000  4 Br 3.02, 2 Zn 3.05
La 0.5000 0.5000 0.5000  4 Zn 3.02, 2 Br 3.05
Zn 0.0000 0.0000 0.5000  6 La 3.02-3.05
Br 0.5000 0.5000 0.0000  6 La 3.02-3.05

iii | # La2ZnBr

La2ZnBr after structural relaxation (PBEsol, Alexandria).

Computed properties:
D(E_F) (states/eV/cell): 3.995
Spin magnetization (μB/atom): 0.000

Cell: 4.3047 4.3047 7.5242 Å, 106.57 106.57 59.90°
With the nearest neighbours (Å) after each atom.
Element x y z (fractional)
La 0.2498 0.2498 0.2491  3 Zn 3.05, 3 Br 3.06
La 0.7502 0.7502 0.7509  3 Zn 3.05, 3 Br 3.06
Zn 0.5000 0.5000 0.0000  6 La 3.05
Br 0.0000 0.0000 0.5000  6 La 3.06

Bottom line: ii, by a margin of 60 meV per atom.

i | # LaZrBr

LaZrBr after structural relaxation (PBEsol, Alexandria).

Computed properties:
D(E_F) (states/eV/cell): 3.907
Spin magnetization (μB/atom): 0.000

Cell: 7.0039 7.0039 7.0039 Å, 152.13 152.13 39.82°
With the nearest neighbours (Å) after each atom.
Element x y z (fractional)
La 0.0000 0.0000 0.0000  4 La 3.37, 4 Br 3.42, 4 Zr 3.43
Zr 0.3133 0.3133 0.0000  4 Br 2.92
Br 0.6857 0.6857 0.0000  4 Zr 2.92

ii | # LaZrBr

LaZrBr after structural relaxation (PBEsol, Alexandria).

Computed properties:
D(E_F) (states/eV/cell): 1.722
Spin magnetization (μB/atom): 0.000

Cell: 3.4749 3.4749 7.4579 Å, 90.00 90.00 120.00°
With the nearest neighbours (Å) after each atom.
Element x y z (fractional)
La 0.0000 0.0000 0.0000  3 Zr 3.30, 6 La 3.47, 3 Br 3.51
Zr 0.3333 0.6667 0.6480  3 Br 2.80
Br 0.6667 0.3333 0.3862  3 Zr 2.80

Bottom line: ii, by a margin of 104 meV per atom.

i | # LiBr2

LiBr2 after structural relaxation (PBEsol, Alexandria).

Computed properties:
D(E_F) (states/eV/cell): 1.703
Spin magnetization (μB/atom): 0.000

Cell: 8.3327 8.3327 4.8312 Å, 90.00 90.00 150.34°
With the nearest neighbours (Å) after each atom.
Element x y z (fractional)
Li 0.2331 0.7669 0.7500  4 Br 2.53-2.55
Li 0.7669 0.2331 0.2500  4 Br 2.53-2.55
Br 0.1822 0.8178 0.2500  4 Li 2.53-2.55
Br 0.4773 0.5227 0.2500  2 Br 2.52
Br 0.5227 0.4773 0.7500  2 Br 2.52
Br 0.8178 0.1822 0.7500  4 Li 2.53-2.55

ii | # LiBr2

LiBr2 after structural relaxation (PBEsol, Alexandria).

Computed properties:
D(E_F) (states/eV/cell): 2.364
Spin magnetization (μB/atom): 0.156

Cell: 5.9196 5.9196 5.9196 Å, 144.48 144.48 51.11°
With the nearest neighbours (Å) after each atom.
Element x y z (fractional)
Li 0.0000 0.0000 0.0000  8 Br 2.92
Br 0.3677 0.3677 0.0000  1 Br 2.83, 4 Li 2.92
Br 0.6323 0.6323 0.0000  1 Br 2.83, 4 Li 2.92

Bottom line: i, by a margin of 257 meV per atom.

i | # LiBr2

LiBr2 after structural relaxation (PBEsol, Alexandria).

Computed properties:
D(E_F) (states/eV/cell): 0.000
Spin magnetization (μB/atom): 0.000

Cell: 5.9277 5.9277 7.7393 Å, 114.99 114.99 37.42°
With the nearest neighbours (Å) after each atom.
Element x y z (fractional)
Li 0.0983 0.0983 0.3762  5 Br 2.55-2.78
Li 0.9017 0.9017 0.6238  5 Br 2.55-2.78
Br 0.3218 0.3218 0.3638  3 Li 2.55-2.62
Br 0.4450 0.4450 0.1068  1 Br 2.47
Br 0.5550 0.5550 0.8932  1 Br 2.47
Br 0.6782 0.6782 0.6362  3 Li 2.55-2.62

ii | # LiBr2

LiBr2 after structural relaxation (PBEsol, Alexandria).

Computed properties:
D(E_F) (states/eV/cell): 3.309
Spin magnetization (μB/atom): 0.000

Cell: 3.9887 3.9887 4.9604 Å, 90.00 90.00 120.00°
With the nearest neighbours (Å) after each atom.
Element x y z (fractional)
Li 0.0000 0.0000 0.0000  6 Br 2.64
Br 0.3333 0.6667 0.2583  3 Li 2.64
Br 0.6667 0.3333 0.7417  3 Li 2.64

Bottom line: i, by a margin of 206 meV per atom.

i | # Li2MgBr4

Li2MgBr4 after structural relaxation (PBEsol, Alexandria).

Computed properties:
D(E_F) (states/eV/cell): 0.000
Spin magnetization (μB/atom): 0.000

Cell: 7.5819 7.5819 7.5819 Å, 118.21 118.17 93.16°
With the nearest neighbours (Å) after each atom.
Element x y z (fractional)
Li 0.0000 0.0000 0.0000  6 Br 2.68
Li 0.5000 0.0000 0.0000  6 Br 2.62-2.79
Li 0.5000 0.0000 0.5000  6 Br 2.68
Li 0.5000 0.5000 0.5000  6 Br 2.62-2.79
Mg 0.0000 0.0000 0.5000  6 Br 2.60-2.72
Mg 0.0000 0.5000 0.0000  6 Br 2.60-2.72
Br 0.2361 0.7430 0.4930  3 Li 2.68-2.79, 2 Mg 2.72
Br 0.2488 0.2348 0.4860  1 Mg 2.60, 3 Li 2.62-2.68
Br 0.2488 0.7628 0.0140  1 Mg 2.60, 3 Li 2.62-2.68
Br 0.2500 0.2570 0.9930  3 Li 2.68-2.79, 2 Mg 2.72
Br 0.7500 0.7430 0.0070  3 Li 2.68-2.79, 2 Mg 2.72
Br 0.7512 0.2372 0.9860  1 Mg 2.60, 3 Li 2.62-2.68
Br 0.7512 0.7652 0.5140  1 Mg 2.60, 3 Li 2.62-2.68
Br 0.7639 0.2570 0.5070  3 Li 2.68-2.79, 2 Mg 2.72

ii | # Li2MgBr4

Li2MgBr4 after structural relaxation (PBEsol, Alexandria).

Computed properties:
D(E_F) (states/eV/cell): 0.000
Spin magnetization (μB/atom): 0.000

Cell: 6.6595 6.6595 3.8170 Å, 90.00 90.00 109.56°
With the nearest neighbours (Å) after each atom.
Element x y z (fractional)
Li 0.0000 0.5000 0.0000  6 Br 2.71-2.72
Li 0.5000 0.0000 0.0000  6 Br 2.71-2.72
Mg 0.0000 0.0000 0.5000  6 Br 2.66
Br 0.2419 0.2419 0.0000  2 Mg 2.66, 2 Li 2.72
Br 0.2441 0.7559 0.5000  1 Mg 2.66, 4 Li 2.71
Br 0.7559 0.2441 0.5000  1 Mg 2.66, 4 Li 2.71
Br 0.7581 0.7581 0.0000  2 Mg 2.66, 2 Li 2.72

Bottom line: ii, by a margin of 52 meV per atom.

i | # Li2MgBr

Li2MgBr after structural relaxation (PBEsol, Alexandria).

Computed properties:
D(E_F) (states/eV/cell): 0.960
Spin magnetization (μB/atom): 0.000

Cell: 3.7056 3.6320 6.4924 Å, 90.00 103.78 90.00°
With the nearest neighbours (Å) after each atom.
Element x y z (fractional)
Li 0.1181 0.0000 0.2455  2 Br 2.63
Li 0.8819 0.0000 0.7545  2 Br 2.63
Mg 0.5000 0.5000 0.0000  8 Li 2.99-3.06, 2 Br 3.25
Br 0.5000 0.5000 0.5000  4 Li 2.63

ii | # Li2MgBr

Li2MgBr after structural relaxation (PBEsol, Alexandria).

Computed properties:
D(E_F) (states/eV/cell): 1.297
Spin magnetization (μB/atom): 0.000

Cell: 5.1868 5.1868 3.3290 Å, 90.00 90.00 109.40°
With the nearest neighbours (Å) after each atom.
Element x y z (fractional)
Li 0.0000 0.5000 0.0000  4 Li 3.00-3.33, 4 Br 3.08, 4 Mg 3.08
Li 0.5000 0.0000 0.0000  4 Li 3.00-3.33, 4 Br 3.08, 4 Mg 3.08
Mg 0.0000 0.0000 0.5000  2 Br 3.00, 8 Li 3.08, 2 Mg 3.33
Br 0.5000 0.5000 0.5000  2 Mg 3.00, 8 Li 3.08, 2 Br 3.33

iii | # Li2MgBr

Li2MgBr after structural relaxation (PBEsol, Alexandria).

Computed properties:
D(E_F) (states/eV/cell): 1.173
Spin magnetization (μB/atom): 0.000

Cell: 3.4823 3.4823 8.6859 Å, 101.47 101.47 59.95°
With the nearest neighbours (Å) after each atom.
Element x y z (fractional)
Li 0.2305 0.2305 0.1942  3 Br 2.59-2.60
Li 0.7695 0.7695 0.8058  3 Br 2.59-2.60
Mg 0.0000 0.0000 0.5000  6 Li 3.27-3.28, 6 Mg 3.48
Br 0.5000 0.5000 0.0000  6 Li 2.59-2.60

Bottom line: iii, by a margin of 61 meV per atom.

i | # LiMgBr2

LiMgBr2 after structural relaxation (PBEsol, Alexandria).

Computed properties:
D(E_F) (states/eV/cell): 1.607
Spin magnetization (μB/atom): 0.145

Cell: 3.8213 3.8213 7.9401 Å, 90.00 90.00 121.97°
With the nearest neighbours (Å) after each atom.
Element x y z (fractional)
Li 0.0000 0.0000 0.0000  4 Br 2.58
Mg 0.0000 0.0000 0.5000  4 Br 2.86
Br 0.5000 0.5000 0.2253  2 Li 2.58, 2 Mg 2.86
Br 0.5000 0.5000 0.7747  2 Li 2.58, 2 Mg 2.86

ii | # LiMgBr2

LiMgBr2 after structural relaxation (PBEsol, Alexandria).

Computed properties:
D(E_F) (states/eV/cell): 3.208
Spin magnetization (μB/atom): 0.000

Cell: 7.4552 7.4552 7.4552 Å, 129.77 129.77 73.77°
With the nearest neighbours (Å) after each atom.
Element x y z (fractional)
Li 0.0000 0.0000 0.0000  4 Br 2.56
Li 0.7500 0.2500 0.5000  4 Br 2.56
Mg 0.2500 0.7500 0.5000  4 Br 2.83
Mg 0.5000 0.5000 0.0000  4 Br 2.83
Br 0.0890 0.6250 0.9640  2 Li 2.56, 2 Mg 2.83
Br 0.3750 0.3390 0.4640  2 Li 2.56, 2 Mg 2.83
Br 0.6610 0.1250 0.0360  2 Li 2.56, 2 Mg 2.83
Br 0.8750 0.9110 0.5360  2 Li 2.56, 2 Mg 2.83

Bottom line: ii, by a margin of 21 meV per atom.

i | # Li2MnBr4

Li2MnBr4 after structural relaxation (PBEsol, Alexandria).

Computed properties:
Spin magnetization (μB/atom): 0.714

Cell: 7.5662 7.5662 7.5662 Å, 118.49 118.07 93.01°
With the nearest neighbours (Å) after each atom.
Element x y z (fractional)
Li 0.0000 0.0000 0.0000  6 Br 2.65-2.77
Li 0.5000 0.0000 0.0000  6 Br 2.67-2.68
Li 0.5000 0.0000 0.5000  6 Br 2.65-2.77
Li 0.5000 0.5000 0.5000  6 Br 2.67-2.68
Mn 0.0000 0.5000 0.5000  6 Br 2.56-2.72
Mn 0.5000 0.5000 0.0000  6 Br 2.56-2.72
Br 0.2432 0.2486 0.5054  3 Li 2.68-2.77, 2 Mn 2.72
Br 0.2432 0.7378 0.9946  3 Li 2.68-2.77, 2 Mn 2.72
Br 0.2583 0.7455 0.5128  1 Mn 2.56, 3 Li 2.65-2.67
Br 0.2673 0.2545 0.0128  1 Mn 2.56, 3 Li 2.65-2.67
Br 0.7327 0.7455 0.9872  1 Mn 2.56, 3 Li 2.65-2.67
Br 0.7417 0.2545 0.4872  1 Mn 2.56, 3 Li 2.65-2.67
Br 0.7568 0.2622 0.0054  3 Li 2.68-2.77, 2 Mn 2.72
Br 0.7568 0.7514 0.4946  3 Li 2.68-2.77, 2 Mn 2.72

ii | # Li2MnBr4

Li2MnBr4 after structural relaxation (PBEsol, Alexandria).

Computed properties:
Spin magnetization (μB/atom): 0.714

Cell: 6.6210 6.6210 6.6210 Å, 131.95 131.95 70.30°
With the nearest neighbours (Å) after each atom.
Element x y z (fractional)
Li 0.2500 0.7500 0.5000  6 Br 2.70-2.71
Li 0.7500 0.2500 0.5000  6 Br 2.70-2.71
Mn 0.0000 0.0000 0.0000  6 Br 2.59-2.70
Br 0.0000 0.5000 0.5000  2 Mn 2.70, 2 Li 2.71
Br 0.2391 0.2391 0.0000  1 Mn 2.59, 4 Li 2.70
Br 0.5000 0.0000 0.5000  2 Mn 2.70, 2 Li 2.71
Br 0.7609 0.7609 0.0000  1 Mn 2.59, 4 Li 2.70

iii | # Li2MnBr4

Li2MnBr4 after structural relaxation (PBEsol, Alexandria).

Computed properties:
Spin magnetization (μB/atom): 0.714

Cell: 6.6582 6.6582 3.8101 Å, 90.00 90.00 109.62°
With the nearest neighbours (Å) after each atom.
Element x y z (fractional)
Li 0.0000 0.5000 0.0000  6 Br 2.70-2.72
Li 0.5000 0.0000 0.0000  6 Br 2.70-2.72
Mn 0.0000 0.0000 0.5000  6 Br 2.65-2.66
Br 0.2412 0.2412 0.0000  2 Mn 2.66, 2 Li 2.72
Br 0.2437 0.7563 0.5000  1 Mn 2.65, 4 Li 2.70
Br 0.7563 0.2437 0.5000  1 Mn 2.65, 4 Li 2.70
Br 0.7588 0.7588 0.0000  2 Mn 2.66, 2 Li 2.72

Bottom line: iii, by a margin of 38 meV per atom.